(1)
DFT (GGA-PBE) results for an optimized crystal structure of BaZrAs4.

Summary:
Electronic total energy (eV per atom): -4.8939
Density (g cm⁻³): 6.32

Cell: 5.8106 5.8106 5.8106 Å, 60.00 60.00 60.00°
Closest atoms and distances in Å follow each position.
Element x y z (fractional)
Ba1 0.0000 0.0000 0.0000  12 As 3.41, 4 Zr 3.56
Zr1 0.7500 0.7500 0.7500  12 As 3.40, 4 Ba 3.56
As1 0.3780 0.3780 0.3780  6 As 2.84-2.97
As2 0.3780 0.3780 0.8660  6 As 2.84-2.97
As3 0.3780 0.8660 0.3780  6 As 2.84-2.97
As4 0.8660 0.3780 0.3780  6 As 2.84-2.97

=====

(2)
DFT (GGA-PBE) results for an optimized crystal structure of BaZr2As.

Summary:
Electronic total energy (eV per atom): -5.9255
Density (g cm⁻³): 5.64

Cell: 4.1030 4.6737 6.2345 Å, 90.00 103.70 90.00°
Closest atoms and distances in Å follow each position.
Element x y z (fractional)
Ba1 0.0000 0.0000 0.0000  2 As 3.30, 4 Zr 3.59
Zr1 0.3442 0.5000 0.6749  2 As 2.72, 1 Zr 2.78
Zr2 0.6558 0.5000 0.3251  2 As 2.72, 1 Zr 2.78
As1 0.5000 0.0000 0.5000  4 Zr 2.72

=====

(3)
DFT (GGA-PBE) results for an optimized crystal structure of BaZr2As.

Summary:
Electronic total energy (eV per atom): -5.7943
Density (g cm⁻³): 6.69

Cell: 5.5053 3.3761 5.6426 Å, 90.00 110.98 90.00°
Closest atoms and distances in Å follow each position.
Element x y z (fractional)
Ba1 0.0000 0.0000 0.0000  6 Zr 3.16-3.23, 4 As 3.29, 2 Ba 3.38
Zr1 0.5000 0.0000 0.5000  2 Ba 3.16, 4 As 3.23, 6 Zr 3.29-3.38
Zr2 0.5000 0.5000 0.0000  2 As 3.16, 4 Ba 3.23, 6 Zr 3.29-3.38
As1 0.0000 0.5000 0.5000  6 Zr 3.16-3.23, 4 Ba 3.29, 2 As 3.38

=====

(4)
DFT (GGA-PBE) results for an optimized crystal structure of BaZrAs3.

Summary:
Offset from the most stable computed form (meV/atom): 0
Electronic total energy (eV per atom): -5.5419
Density (g cm⁻³): 5.16

Cell: 5.2655 5.2655 5.2655 Å, 90.00 90.00 90.00°
Closest atoms and distances in Å follow each position.
Element x y z (fractional)
Ba1 0.0000 0.0000 0.0000  12 As 3.72
Zr1 0.5000 0.5000 0.5000  6 As 2.63
As1 0.0000 0.5000 0.5000  2 Zr 2.63
As2 0.5000 0.0000 0.5000  2 Zr 2.63
As3 0.5000 0.5000 0.0000  2 Zr 2.63